Record 1
Below is CeGdMnZn after structural relaxation, with properties calculated at the GGA-PBE level.

The space group is F-43m (No. 216) and the conventional cell measures 7.127, 7.127 and 7.127 Å, with angles of 90.00, 90.00 and 90.00 degrees. The inequivalent atoms are Ce at (0.000, 0.000, 0.000), Gd at (0.000, 0.000, 0.500), Mn at (0.250, 0.250, 0.250) and Zn at (0.250, 0.250, 0.750).

The formation energy comes out at -0.016 eV per atom.

Record 2
Below is Ce4Gd2N after structural relaxation, with properties calculated at the GGA-PBE level.

The space group is I4/mmm (No. 139) and the conventional cell measures 4.877, 4.877 and 16.680 Å, with angles of 90.00, 90.00 and 90.00 degrees. The inequivalent atoms are Ce at (0.000, 0.000, 0.141), Ce at (0.000, 0.500, 0.000), Gd at (0.000, 0.000, 0.342) and N at (0.000, 0.000, 0.000).

The uncorrected formation energy comes out at -193 meV/atom.

Record 3
Below is CeGd3N after structural relaxation, with properties calculated at the GGA-PBE level.

The space group is Pm-3m (No. 221) and the conventional cell measures 5.011, 5.011 and 5.011 Å, with angles of 90.00, 90.00 and 90.00 degrees. The inequivalent atoms are Ce at (0.000, 0.000, 0.000), Gd at (0.000, 0.500, 0.500) and N at (0.500, 0.500, 0.500).

The uncorrected formation energy comes out at -412 meV/atom.

Record 4
Below is Ce3GdN after structural relaxation, with properties calculated at the GGA-PBE level.

The space group is Pm-3m (No. 221) and the conventional cell measures 4.947, 4.947 and 4.947 Å, with angles of 90.00, 90.00 and 90.00 degrees. The inequivalent atoms are Ce at (0.000, 0.000, 0.500), Gd at (0.500, 0.500, 0.500) and N at (0.000, 0.000, 0.000).

The uncorrected formation energy comes out at -514 meV/atom.

no.,spin magnetization (Bohr magnetons per cell),E_tot (eV/f.u.)
1,20.92,-30.52
2,33.34,-61.57
3,23.75,-58.56
4,7.14,-42.78